Record 1
The following is a DFT calculation (PBE) of NdAgPbS3 after structural relaxation.

Cell and atoms, written as POSCAR:
```
NdAgPbS3
1.0
7.569 0.000 0.000
0.000 4.103 0.000
-2.535 0.000 9.563
Ag Nd Pb S
2 2 2 6
Direct
0.895 0.750 0.413
0.105 0.250 0.587
0.710 0.250 0.152
0.290 0.750 0.848
0.285 0.250 0.308
0.715 0.750 0.692
0.439 0.750 0.140
0.970 0.750 0.177
0.706 0.250 0.451
0.294 0.750 0.549
0.030 0.250 0.823
0.561 0.250 0.860
```

Properties
Size of the total moment = 0.0 μB/f.u.
Raw total energy = -59.39 eV for the cell shown
Symmetry = P2_1/m, No. 11
Relative energy among the computed polymorphs = 20 meV per atom

***

Record 2
The following is a DFT calculation (PBE) of GdAuNO after structural relaxation.

Cell and atoms, written as POSCAR:
```
GdAuNO
1.0
2.788 -2.788 0.000
2.788 2.788 0.000
0.000 0.000 7.600
Au Gd N O
2 2 2 2
Direct
0.750 0.250 0.500
0.250 0.750 0.500
0.250 0.250 0.146
0.750 0.750 0.854
0.750 0.750 0.317
0.250 0.250 0.682
0.750 0.250 0.000
0.250 0.750 0.000
```

Properties
Size of the total moment = 1.0 μB/f.u.
Raw total energy = -49.61 eV for the cell shown
Symmetry = P4/nmm, No. 129
Relative energy among the computed polymorphs = 285 meV per atom

***

Record 3
The following is a DFT calculation (PBE) of TmBiMo after structural relaxation.

Cell and atoms, written as POSCAR:
```
TmBiMo
1.0
0.000 3.503 3.503
3.503 0.000 3.503
3.503 3.503 0.000
Bi Mo Tm
1 1 1
Direct
0.250 0.250 0.250
0.750 0.750 0.750
0.000 0.000 0.000
```

Properties
Size of the total moment = 3.4 μB/f.u.
Raw total energy = -16.49 eV for the cell shown
Symmetry = F-43m, No. 216
Relative energy among the computed polymorphs = 485 meV per atom